This record from Alexandria describes a relaxed LiLa2IBr crystal. The functional is PBE.

a = 5.997 Å, b = 5.997 Å, c = 6.752 Å
α = 90.00°, β = 90.00°, γ = 90.00°
Space group P4/mmm (No. 123)
Inequivalent atoms, fractional coordinates:
Li 0.000 0.000 0.000 (multiplicity 1)
La 0.000 0.500 0.500 (multiplicity 2)
I 0.500 0.500 0.500 (multiplicity 1)
Br 0.500 0.500 0.000 (multiplicity 1)

Uncorrected formation energy (eV/atom): -0.03
Calculated volume (Å³ per cell): 242.81



This record from Alexandria describes a relaxed LaMgIBr2 crystal. The functional is PBE.

a = 6.758 Å, b = 6.758 Å, c = 5.782 Å
α = 90.00°, β = 90.00°, γ = 90.00°
Space group P4/mmm (No. 123)
Inequivalent atoms, fractional coordinates:
La 0.000 0.000 0.000 (multiplicity 1)
Mg 0.500 0.500 0.000 (multiplicity 1)
I 0.000 0.000 0.500 (multiplicity 1)
Br 0.000 0.500 0.500 (multiplicity 2)

Uncorrected formation energy (eV/atom): -0.13
Calculated volume (Å³ per cell): 264.07



This record from Alexandria describes a relaxed La4MnI2Br crystal. The functional is PBE.

a = 7.898 Å, b = 4.265 Å, c = 8.252 Å
α = 90.00°, β = 104.43°, γ = 90.00°
Space group P2/m (No. 10)
Inequivalent atoms, fractional coordinates:
La 0.204 0.000 0.310 (multiplicity 2)
La 0.206 0.500 0.696 (multiplicity 2)
Mn 0.000 0.000 0.500 (multiplicity 1)
I 0.000 0.500 0.000 (multiplicity 1)
I 0.500 0.000 0.000 (multiplicity 1)
Br 0.500 0.500 0.500 (multiplicity 1)

Uncorrected formation energy (eV/atom): -0.76
Calculated volume (Å³ per cell): 269.17



This record from Alexandria describes a relaxed La2I2BrN crystal. The functional is PBE.

a = 4.178 Å, b = 12.083 Å, c = 8.777 Å
α = 90.00°, β = 90.00°, γ = 90.00°
Space group Pmc2_1 (No. 26)
Inequivalent atoms, fractional coordinates:
La 0.000 0.046 0.000 (multiplicity 2)
La 0.500 0.214 0.386 (multiplicity 2)
I 0.000 0.395 0.521 (multiplicity 2)
I 0.500 0.263 0.024 (multiplicity 2)
Br 0.500 0.082 0.693 (multiplicity 2)
N 0.000 0.107 0.375 (multiplicity 2)

Uncorrected formation energy (eV/atom): -1.55
Calculated volume (Å³ per cell): 443.05



This record from Alexandria describes a relaxed LaNbIBr2 crystal. The functional is PBE.

a = 5.625 Å, b = 5.625 Å, c = 6.651 Å
α = 90.00°, β = 90.00°, γ = 90.00°
Space group P4/mmm (No. 123)
Inequivalent atoms, fractional coordinates:
La 0.000 0.000 0.000 (multiplicity 1)
Nb 0.000 0.000 0.500 (multiplicity 1)
I 0.500 0.500 0.500 (multiplicity 1)
Br 0.000 0.500 0.000 (multiplicity 2)

Uncorrected formation energy (eV/atom): -0.09
Calculated volume (Å³ per cell): 210.45



This record from Alexandria describes a relaxed LaNdIBr crystal. The functional is PBE.

a = 7.705 Å, b = 7.705 Å, c = 7.705 Å
α = 90.00°, β = 90.00°, γ = 90.00°
Space group F-43m (No. 216)
Inequivalent atoms, fractional coordinates:
La 0.000 0.000 0.000 (multiplicity 4)
Nd 0.000 0.000 0.500 (multiplicity 4)
I 0.250 0.250 0.250 (multiplicity 4)
Br 0.250 0.250 0.750 (multiplicity 4)

Uncorrected formation energy (eV/atom): -0.93
Calculated volume (Å³ per cell): 457.50